[1]
Zr4GePbN2: optimized geometry, PBE.

Computed properties:
As for the total energy: -8.452 eV per atom. For the total moment, the calculation gives 0.000 μB per atom. As for the space group: P-6m2, No. 187.

a b c (Å): 3.315 3.315 14.290
angles (deg): 90.00 90.00 120.00
Atoms (fractional coordinates):
Zr (0.000, 0.000, 0.150)
Zr (0.000, 0.000, 0.850)
Zr (0.667, 0.333, 0.325)
Zr (0.667, 0.333, 0.675)
Ge (0.667, 0.333, 0.000)
Pb (0.000, 0.000, 0.500)
N (0.333, 0.667, 0.238)
N (0.333, 0.667, 0.762)

=====

[2]
Pm6Ge2N: optimized geometry, PBE.

Computed properties:
As for the total energy: -5.581 eV per atom. For the total moment, the calculation gives 0.140 μB per atom. As for the space group: P-62m, No. 189.

a b c (Å): 8.149 8.149 3.876
angles (deg): 90.00 90.00 120.00
Atoms (fractional coordinates):
Pm (0.000, 0.232, 0.000)
Pm (0.000, 0.579, 0.500)
Pm (0.232, 0.000, 0.000)
Pm (0.421, 0.421, 0.500)
Pm (0.579, 0.000, 0.500)
Pm (0.768, 0.768, 0.000)
Ge (0.333, 0.667, 0.000)
Ge (0.667, 0.333, 0.000)
N (0.000, 0.000, 0.500)

=====

[3]
PmGeN: optimized geometry, PBE.

Computed properties:
As for the total energy: -5.165 eV per atom. For the total moment, the calculation gives 0.001 μB per atom. As for the space group: F-43m, No. 216.

a b c (Å): 6.340 6.340 6.340
angles (deg): 90.00 90.00 90.00
Atoms (fractional coordinates):
Pm (0.000, 0.000, 0.000)
Pm (0.000, 0.500, 0.500)
Pm (0.500, 0.000, 0.500)
Pm (0.500, 0.500, 0.000)
Ge (0.250, 0.250, 0.250)
Ge (0.250, 0.750, 0.750)
Ge (0.750, 0.250, 0.750)
Ge (0.750, 0.750, 0.250)
N (0.250, 0.250, 0.750)
N (0.250, 0.750, 0.250)
N (0.750, 0.250, 0.250)
N (0.750, 0.750, 0.750)

=====

[4]
Pr4GeN2: optimized geometry, PBE.

Computed properties:
As for the total energy: -6.542 eV per atom. For the total moment, the calculation gives 0.002 μB per atom. As for the space group: C2/m, No. 12.

a b c (Å): 14.252 6.444 3.661
angles (deg): 90.00 104.80 90.00
Atoms (fractional coordinates):
Pr (0.144, 0.245, 0.145)
Pr (0.144, 0.755, 0.145)
Pr (0.356, 0.255, 0.855)
Pr (0.356, 0.745, 0.855)
Pr (0.644, 0.255, 0.145)
Pr (0.644, 0.745, 0.145)
Pr (0.856, 0.245, 0.855)
Pr (0.856, 0.755, 0.855)
Ge (0.000, 0.500, 0.500)
Ge (0.500, 0.000, 0.500)
N (0.218, 0.000, 0.718)
N (0.282, 0.500, 0.282)
N (0.718, 0.500, 0.718)
N (0.782, 0.000, 0.282)

=====

[5]
Ta4GeSbN2: optimized geometry, PBE.

Computed properties:
As for the total energy: -9.525 eV per atom. For the total moment, the calculation gives 0.000 μB per atom. As for the space group: P-6m2, No. 187.

a b c (Å): 3.297 3.297 12.614
angles (deg): 90.00 90.00 120.00
Atoms (fractional coordinates):
Ta (0.000, 0.000, 0.150)
Ta (0.000, 0.000, 0.850)
Ta (0.667, 0.333, 0.325)
Ta (0.667, 0.333, 0.675)
Ge (0.667, 0.333, 0.000)
Sb (0.000, 0.000, 0.500)
N (0.333, 0.667, 0.241)
N (0.333, 0.667, 0.759)

=====

[6]
Sc2Ta4Ge3N3: optimized geometry, PBE.

Computed properties:
As for the total energy: -9.084 eV per atom. For the total moment, the calculation gives 0.000 μB per atom. As for the space group: C2/c, No. 15.

a b c (Å): 5.536 5.536 13.316
angles (deg): 101.86 101.86 60.29
Atoms (fractional coordinates):
Sc (0.033, 0.867, 0.599)
Sc (0.133, 0.967, 0.901)
Sc (0.867, 0.033, 0.099)
Sc (0.967, 0.133, 0.401)
Ta (0.195, 0.364, 0.086)
Ta (0.307, 0.469, 0.414)
Ta (0.364, 0.195, 0.586)
Ta (0.469, 0.307, 0.914)
Ta (0.531, 0.693, 0.086)
Ta (0.636, 0.805, 0.414)
Ta (0.693, 0.531, 0.586)
Ta (0.805, 0.636, 0.914)
Ge (0.083, 0.279, 0.750)
Ge (0.279, 0.083, 0.250)
Ge (0.448, 0.552, 0.750)
Ge (0.552, 0.448, 0.250)
Ge (0.721, 0.917, 0.750)
Ge (0.917, 0.721, 0.250)
N (0.000, 0.500, 0.500)
N (0.159, 0.682, 0.000)
N (0.318, 0.841, 0.500)
N (0.500, 0.000, 0.000)
N (0.682, 0.159, 0.500)
N (0.841, 0.318, 0.000)

=====

[7]
Sc4Ta2Ge3N3: optimized geometry, PBE.

Computed properties:
As for the total energy: -8.448 eV per atom. For the total moment, the calculation gives 0.000 μB per atom. As for the space group: C2/c, No. 15.

a b c (Å): 5.517 5.517 13.741
angles (deg): 101.55 101.55 60.20
Atoms (fractional coordinates):
Sc (0.035, 0.195, 0.094)
Sc (0.131, 0.302, 0.406)
Sc (0.195, 0.035, 0.594)
Sc (0.302, 0.131, 0.906)
Sc (0.698, 0.869, 0.094)
Sc (0.805, 0.965, 0.406)
Sc (0.869, 0.698, 0.594)
Sc (0.965, 0.805, 0.906)
Ta (0.358, 0.528, 0.084)
Ta (0.472, 0.642, 0.416)
Ta (0.528, 0.358, 0.584)
Ta (0.642, 0.472, 0.916)
Ge (0.116, 0.884, 0.250)
Ge (0.284, 0.418, 0.751)
Ge (0.418, 0.284, 0.251)
Ge (0.582, 0.716, 0.749)
Ge (0.716, 0.582, 0.249)
Ge (0.884, 0.116, 0.750)
N (0.000, 0.500, 0.000)
N (0.166, 0.667, 0.500)
N (0.333, 0.834, 0.000)
N (0.500, 0.000, 0.500)
N (0.667, 0.166, 0.000)
N (0.834, 0.333, 0.500)

=====

[8]
Sc4Ge3W2N3: optimized geometry, PBE.

Computed properties:
As for the total energy: -8.418 eV per atom. For the total moment, the calculation gives 0.000 μB per atom. As for the space group: C2/c, No. 15.

a b c (Å): 5.494 5.494 13.487
angles (deg): 101.82 101.82 60.21
Atoms (fractional coordinates):
Sc (0.031, 0.200, 0.095)
Sc (0.136, 0.301, 0.405)
Sc (0.200, 0.031, 0.595)
Sc (0.301, 0.136, 0.905)
Sc (0.699, 0.864, 0.095)
Sc (0.800, 0.969, 0.405)
Sc (0.864, 0.699, 0.595)
Sc (0.969, 0.800, 0.905)
Ge (0.121, 0.879, 0.250)
Ge (0.293, 0.415, 0.750)
Ge (0.415, 0.293, 0.250)
Ge (0.585, 0.707, 0.750)
Ge (0.707, 0.585, 0.250)
Ge (0.879, 0.121, 0.750)
W (0.363, 0.529, 0.084)
W (0.471, 0.637, 0.416)
W (0.529, 0.363, 0.584)
W (0.637, 0.471, 0.916)
N (0.000, 0.500, 0.000)
N (0.161, 0.669, 0.500)
N (0.331, 0.839, 0.000)
N (0.500, 0.000, 0.500)
N (0.669, 0.161, 0.000)
N (0.839, 0.331, 0.500)